VASP calculation (GGA-PBE) on crystalline Ac4Bi2Rh at its relaxed geometry. Values from VASP.

## Properties
- V (Å³/atom) = 40.62
- energy of formation from the pure elements (eV/atom) = -0.6206
- energy above the most stable polymorph in this dataset (meV/atom) = 35.1

Structure (Quantum ESPRESSO input):
```
&SYSTEM
  ibrav = 0, nat = 7, ntyp = 3
/
ATOMIC_SPECIES
Ac 227.00 Ac.upf
Bi 208.98 Bi.upf
Rh 102.91 Rh.upf
CELL_PARAMETERS angstrom
8.698 -2.307 0.000
8.698 2.307 0.000
-3.599 0.000 7.086
ATOMIC_POSITIONS crystal
Ac 0.112 0.112 0.255
Ac 0.387 0.387 0.195
Ac 0.613 0.613 0.805
Ac 0.888 0.888 0.745
Bi 0.236 0.236 0.737
Bi 0.764 0.764 0.263
Rh 0.500 0.500 0.000
```